# SiHgMo, PBEsol geometry, DFT meta-GGA SCAN
data_SiHgMo
_chemical_formula_sum 'Si1 Hg1 Mo1'
_cell_length_a 2.981
_cell_length_b 2.981
_cell_length_c 6.533
_cell_angle_alpha 90.00
_cell_angle_beta 90.00
_cell_angle_gamma 120.00
_symmetry_space_group_name_H-M 'P 1'
_symmetry_Int_Tables_number 1
loop_
_symmetry_equiv_pos_as_xyz
'x,y,z'
loop_
_atom_site_label
_atom_site_type_symbol
_atom_site_fract_x
_atom_site_fract_y
_atom_site_fract_z
Hg1 Hg 0.000 0.000 0.001
Mo1 Mo 0.333 0.667 0.639
Si1 Si 0.667 0.333 0.359
# Formation energy from raw total energies: 493 meV per atom
# SG: P3m1, No. 156
# Electronic total energy: -37.196 eV/atom
# E above lowest polymorph: 125 meV per atom

---

# MnBeHg2, PBEsol geometry, DFT meta-GGA SCAN
data_MnBeHg2
_chemical_formula_sum 'Mn1 Be1 Hg2'
_cell_length_a 2.886
_cell_length_b 2.886
_cell_length_c 7.509
_cell_angle_alpha 90.00
_cell_angle_beta 90.00
_cell_angle_gamma 90.00
_symmetry_space_group_name_H-M 'P 1'
_symmetry_Int_Tables_number 1
loop_
_symmetry_equiv_pos_as_xyz
'x,y,z'
loop_
_atom_site_label
_atom_site_type_symbol
_atom_site_fract_x
_atom_site_fract_y
_atom_site_fract_z
Be1 Be 0.500 0.500 0.713
Mn1 Mn 0.000 0.000 0.551
Hg1 Hg 0.000 0.000 0.948
Hg2 Hg 0.500 0.500 0.288
# SG: P4mm, No. 99
# Electronic total energy: -39.583 eV/atom
# DFT formation energy: 0.15 eV per atom

---

# ErZnIn, PBEsol geometry, DFT meta-GGA SCAN
data_ErZnIn
_chemical_formula_sum 'Er2 Zn2 In2'
_cell_length_a 4.577
_cell_length_b 4.577
_cell_length_c 6.997
_cell_angle_alpha 90.00
_cell_angle_beta 90.00
_cell_angle_gamma 120.00
_symmetry_space_group_name_H-M 'P 1'
_symmetry_Int_Tables_number 1
loop_
_symmetry_equiv_pos_as_xyz
'x,y,z'
loop_
_atom_site_label
_atom_site_type_symbol
_atom_site_fract_x
_atom_site_fract_y
_atom_site_fract_z
Zn1 Zn 0.333 0.667 0.750
Zn2 Zn 0.667 0.333 0.250
In1 In 0.333 0.667 0.250
In2 In 0.667 0.333 0.750
Er1 Er 0.000 0.000 0.000
Er2 Er 0.000 0.000 0.500
# SG: P6_3/mmc, No. 194
# Electronic total energy: -32.955 eV/atom
# DFT formation energy: -0.54 eV per atom

---

# Y2MgScNb, PBEsol geometry, DFT meta-GGA SCAN
data_Y2MgScNb
_chemical_formula_sum 'Y2 Mg1 Sc1 Nb1'
_cell_length_a 5.048
_cell_length_b 5.384
_cell_length_c 5.384
_cell_angle_alpha 90.00
_cell_angle_beta 90.00
_cell_angle_gamma 90.00
_symmetry_space_group_name_H-M 'P 1'
_symmetry_Int_Tables_number 1
loop_
_symmetry_equiv_pos_as_xyz
'x,y,z'
loop_
_atom_site_label
_atom_site_type_symbol
_atom_site_fract_x
_atom_site_fract_y
_atom_site_fract_z
Y1 Y 0.000 0.000 0.500
Y2 Y 0.000 0.500 0.000
Sc1 Sc 0.500 0.000 0.000
Nb1 Nb 0.000 0.000 0.000
Mg1 Mg 0.500 0.500 0.500
# SG: P4/mmm, No. 123
# Electronic total energy: -21.061 eV/atom
# DFT formation energy: 0.54 eV per atom

---

# Rb2NiAu, PBEsol geometry, DFT meta-GGA SCAN
data_Rb2NiAu
_chemical_formula_sum 'Rb2 Ni1 Au1'
_cell_length_a 5.655
_cell_length_b 5.655
_cell_length_c 5.655
_cell_angle_alpha 60.00
_cell_angle_beta 60.00
_cell_angle_gamma 60.00
_symmetry_space_group_name_H-M 'P 1'
_symmetry_Int_Tables_number 1
loop_
_symmetry_equiv_pos_as_xyz
'x,y,z'
loop_
_atom_site_label
_atom_site_type_symbol
_atom_site_fract_x
_atom_site_fract_y
_atom_site_fract_z
Ni1 Ni 0.000 0.000 0.000
Au1 Au 0.500 0.500 0.500
Rb1 Rb 0.250 0.250 0.250
Rb2 Rb 0.750 0.750 0.750
# SG: Fm-3m, No. 225
# Electronic total energy: -31.308 eV/atom
# DFT formation energy: 0.39 eV per atom

---

# Tb2Si3, PBEsol geometry, DFT meta-GGA SCAN
data_Tb2Si3
_chemical_formula_sum 'Tb4 Si6'
_cell_length_a 4.145
_cell_length_b 4.257
_cell_length_c 12.048
_cell_angle_alpha 90.00
_cell_angle_beta 99.91
_cell_angle_gamma 90.00
_symmetry_space_group_name_H-M 'P 1'
_symmetry_Int_Tables_number 1
loop_
_symmetry_equiv_pos_as_xyz
'x,y,z'
loop_
_atom_site_label
_atom_site_type_symbol
_atom_site_fract_x
_atom_site_fract_y
_atom_site_fract_z
Si1 Si 0.068 0.250 0.136
Si2 Si 0.932 0.750 0.864
Si3 Si 0.164 0.250 0.328
Si4 Si 0.836 0.750 0.672
Si5 Si 0.520 0.250 0.040
Si6 Si 0.480 0.750 0.960
Tb1 Tb 0.385 0.250 0.770
Tb2 Tb 0.615 0.750 0.230
Tb3 Tb 0.748 0.250 0.495
Tb4 Tb 0.252 0.750 0.505
# Formation energy from raw total energies: -297 meV per atom
# SG: Cmcm, No. 63
# Electronic total energy: -25.011 eV/atom
# E above lowest polymorph: 333 meV per atom

---

# BaMnBe, PBEsol geometry, DFT meta-GGA SCAN
data_BaMnBe
_chemical_formula_sum 'Ba1 Mn1 Be1'
_cell_length_a 3.327
_cell_length_b 3.327
_cell_length_c 6.110
_cell_angle_alpha 105.80
_cell_angle_beta 105.80
_cell_angle_gamma 90.00
_symmetry_space_group_name_H-M 'P 1'
_symmetry_Int_Tables_number 1
loop_
_symmetry_equiv_pos_as_xyz
'x,y,z'
loop_
_atom_site_label
_atom_site_type_symbol
_atom_site_fract_x
_atom_site_fract_y
_atom_site_fract_z
Be1 Be 0.726 0.726 0.452
Mn1 Mn 0.271 0.271 0.542
Ba1 Ba 0.003 0.003 0.007
# SG: I4mm, No. 107
# Electronic total energy: -20.315 eV/atom
# DFT formation energy: 0.41 eV per atom

---

# BeInRh, PBEsol geometry, DFT meta-GGA SCAN
data_BeInRh
_chemical_formula_sum 'Be1 In1 Rh1'
_cell_length_a 3.027
_cell_length_b 3.027
_cell_length_c 5.075
_cell_angle_alpha 107.35
_cell_angle_beta 107.35
_cell_angle_gamma 90.00
_symmetry_space_group_name_H-M 'P 1'
_symmetry_Int_Tables_number 1
loop_
_symmetry_equiv_pos_as_xyz
'x,y,z'
loop_
_atom_site_label
_atom_site_type_symbol
_atom_site_fract_x
_atom_site_fract_y
_atom_site_fract_z
Be1 Be 0.964 0.964 0.927
Rh1 Rh 0.369 0.369 0.737
In1 In 0.668 0.668 0.336
# SG: I4mm, No. 107
# Electronic total energy: -24.236 eV/atom
# DFT formation energy: -0.40 eV per atom
# E above lowest polymorph: 0 meV per atom

---

# SmRhO3, PBEsol geometry, DFT meta-GGA SCAN
data_SmRhO3
_chemical_formula_sum 'Sm4 Rh4 O12'
_cell_length_a 5.232
_cell_length_b 5.815
_cell_length_c 7.636
_cell_angle_alpha 90.00
_cell_angle_beta 90.00
_cell_angle_gamma 90.00
_symmetry_space_group_name_H-M 'P 1'
_symmetry_Int_Tables_number 1
loop_
_symmetry_equiv_pos_as_xyz
'x,y,z'
loop_
_atom_site_label
_atom_site_type_symbol
_atom_site_fract_x
_atom_site_fract_y
_atom_site_fract_z
Sm1 Sm 0.469 0.584 0.750
Sm2 Sm 0.969 0.916 0.250
Sm3 Sm 0.031 0.084 0.750
Sm4 Sm 0.531 0.416 0.250
Rh1 Rh 0.500 0.000 0.500
Rh2 Rh 0.000 0.500 0.500
Rh3 Rh 0.000 0.500 0.000
Rh4 Rh 0.500 0.000 0.000
O1 O 0.822 0.193 0.445
O2 O 0.322 0.307 0.555
O3 O 0.678 0.693 0.055
O4 O 0.178 0.807 0.945
O5 O 0.178 0.807 0.555
O6 O 0.678 0.693 0.445
O7 O 0.322 0.307 0.945
O8 O 0.822 0.193 0.055
O9 O 0.380 0.040 0.250
O10 O 0.880 0.460 0.750
O11 O 0.120 0.540 0.250
O12 O 0.620 0.960 0.750
# Formation energy from raw total energies: -2467 meV per atom
# SG: Pnma, No. 62
# Electronic total energy: -21.849 eV/atom

---

# LiZrPb2, PBEsol geometry, DFT meta-GGA SCAN
data_LiZrPb2
_chemical_formula_sum 'Li1 Zr1 Pb2'
_cell_length_a 4.172
_cell_length_b 4.172
_cell_length_c 5.925
_cell_angle_alpha 110.61
_cell_angle_beta 110.61
_cell_angle_gamma 90.00
_symmetry_space_group_name_H-M 'P 1'
_symmetry_Int_Tables_number 1
loop_
_symmetry_equiv_pos_as_xyz
'x,y,z'
loop_
_atom_site_label
_atom_site_type_symbol
_atom_site_fract_x
_atom_site_fract_y
_atom_site_fract_z
Pb1 Pb 0.500 0.500 0.000
Pb2 Pb 0.250 0.750 0.500
Zr1 Zr 0.000 0.000 0.000
Li1 Li 0.750 0.250 0.500
# SG: I-4m2, No. 119
# Electronic total energy: -46.487 eV/atom
# DFT formation energy: -0.32 eV per atom

---

# La2InGa, PBEsol geometry, DFT meta-GGA SCAN
data_La2InGa
_chemical_formula_sum 'La2 In1 Ga1'
_cell_length_a 5.384
_cell_length_b 5.384
_cell_length_c 5.384
_cell_angle_alpha 60.00
_cell_angle_beta 60.00
_cell_angle_gamma 60.00
_symmetry_space_group_name_H-M 'P 1'
_symmetry_Int_Tables_number 1
loop_
_symmetry_equiv_pos_as_xyz
'x,y,z'
loop_
_atom_site_label
_atom_site_type_symbol
_atom_site_fract_x
_atom_site_fract_y
_atom_site_fract_z
La1 La 0.250 0.250 0.250
La2 La 0.750 0.750 0.750
Ga1 Ga 0.000 0.000 0.000
In1 In 0.500 0.500 0.500
# SG: Fm-3m, No. 225
# Electronic total energy: -34.630 eV/atom
# DFT formation energy: -0.64 eV per atom

---

# Li3MgSe, PBEsol geometry, DFT meta-GGA SCAN
data_Li3MgSe
_chemical_formula_sum 'Li3 Mg1 Se1'
_cell_length_a 4.839
_cell_length_b 4.839
_cell_length_c 4.839
_cell_angle_alpha 90.00
_cell_angle_beta 90.00
_cell_angle_gamma 90.00
_symmetry_space_group_name_H-M 'P 1'
_symmetry_Int_Tables_number 1
loop_
_symmetry_equiv_pos_as_xyz
'x,y,z'
loop_
_atom_site_label
_atom_site_type_symbol
_atom_site_fract_x
_atom_site_fract_y
_atom_site_fract_z
Mg1 Mg 0.500 0.500 0.500
Se1 Se 0.000 0.000 0.000
Li1 Li 0.000 0.500 0.000
Li2 Li 0.000 0.000 0.500
Li3 Li 0.500 0.000 0.000
# Formation energy from raw total energies: -519 meV per atom
# SG: Pm-3m, No. 221
# Electronic total energy: -6.964 eV/atom